(1)
First-principles (PBE) data for a relaxed structure of ZrPd, as listed in the Open Quantum Materials Database.

Crystal system: orthorhombic
DFT formation energy: -0.394 eV/atom
Density: 8.66 g/cm3
Symmetry: Pmmn, No. 59

Lattice parameters (Å, degrees): 4.888 3.171 4.891 90.00 90.00 90.00
Atoms (fractional coordinates):
Pd (0.509, 0.500, 0.000)
Zr (0.025, 0.000, 0.000)
Zr (0.809, 0.500, 0.500)
Pd (0.324, 0.000, 0.500)

=====

(2)
First-principles (PBE) data for a relaxed structure of YZnInSe3, as listed in the Open Quantum Materials Database.

Crystal system: orthorhombic
Density: 5.19 g/cm3
Symmetry: Pnma, No. 62
Relative energy among the computed polymorphs: 75.2 meV per atom

Lattice parameters (Å, degrees): 9.965 4.161 15.615 90.00 90.00 90.00
Atoms (fractional coordinates):
Se (0.015, 0.250, 0.393)
Se (0.667, 0.250, 0.523)
Se (0.485, 0.750, 0.893)
Zn (0.826, 0.250, 0.640)
Y (0.322, 0.750, 0.051)
In (0.033, 0.750, 0.812)
In (0.467, 0.250, 0.312)
Se (0.167, 0.250, 0.977)
Zn (0.174, 0.750, 0.360)
Y (0.822, 0.750, 0.449)
Se (0.191, 0.750, 0.207)
Zn (0.326, 0.250, 0.860)
Se (0.809, 0.250, 0.793)
Se (0.515, 0.250, 0.107)
In (0.967, 0.250, 0.188)
Y (0.178, 0.250, 0.551)
In (0.533, 0.750, 0.688)
Se (0.985, 0.750, 0.607)
Se (0.691, 0.750, 0.293)
Se (0.333, 0.750, 0.477)
Y (0.678, 0.250, 0.949)
Se (0.309, 0.250, 0.707)
Se (0.833, 0.750, 0.023)
Zn (0.674, 0.750, 0.140)

=====

(3)
First-principles (PBE) data for a relaxed structure of Li4ZnPtPb2, as listed in the Open Quantum Materials Database.

Crystal system: tetragonal
Density: 8.30 g/cm3
Energy: -3.155 eV per atom
Symmetry: P-4m2, No. 115

Lattice parameters (Å, degrees): 4.594 4.594 6.659 90.00 90.00 90.00
Atoms (fractional coordinates):
Li (0.000, 0.500, 0.766)
Li (0.500, 0.500, 0.000)
Zn (0.500, 0.500, 0.500)
Pb (0.500, 0.000, 0.753)
Li (0.500, 0.000, 0.234)
Pb (0.000, 0.500, 0.247)
Pt (0.000, 0.000, 0.000)
Li (0.000, 0.000, 0.500)

=====

(4)
First-principles (PBE) data for a relaxed structure of NdTmAg2O4, as listed in the Open Quantum Materials Database.

Crystal system: trigonal
Density: 7.22 g/cm3
Energy: -6.550 eV per atom
Symmetry: P-3m1, No. 164

Lattice parameters (Å, degrees): 3.547 3.547 12.507 90.00 90.00 120.00
Atoms (fractional coordinates):
Ag (0.333, 0.667, 0.244)
O (0.667, 0.333, 0.922)
Ag (0.667, 0.333, 0.756)
O (0.333, 0.667, 0.409)
O (0.667, 0.333, 0.591)
O (0.333, 0.667, 0.078)
Tm (0.000, 0.000, 0.000)
Nd (0.000, 0.000, 0.500)